Material: La2Tb3Pr6Sm
Method: DFT, GGA-PBE
State: optimized geometry

```
data_La2Tb3Pr6Sm
_symmetry_space_group_name_H-M 'C 1 2/m 1'
_symmetry_Int_Tables_number 12
_symmetry_space_group_name_Hall '-C 2y'
_cell_length_a 6.379
_cell_length_b 11.056
_cell_length_c 12.145
_cell_angle_alpha 90.00
_cell_angle_beta 100.12
_cell_angle_gamma 90.00
loop_
_atom_site_label
_atom_site_fract_x
_atom_site_fract_y
_atom_site_fract_z
La1 0.000 0.167 0.000
Tb1 0.000 0.000 0.500
Tb2 0.000 0.334 0.500
Pr1 0.248 0.166 0.745
Pr2 0.248 0.500 0.745
Sm1 0.000 0.500 0.000
```

Summary:
- calculated formation energy (meV/atom) = 16